# 1
# ScAuBr

A geometry-optimized ScAuBr structure (GGA-PBEsol, Alexandria via LeMat-Bulk).

Computed properties:
The value obtained for the energy relative to the elements, uncorrected is -0.7 eV/f.u. The total energy is -13.11 eV for the cell shown. The calculation puts the energy above the most stable polymorph in this dataset at 0.0000 eV/atom.

abc: 4.679 4.679 4.679
angles: 60.00 60.00 60.00
Fractional coordinates of all 3 atoms:
Au1 0.250 0.250 0.250
Br1 0.000 0.000 0.000
Sc1 0.500 0.500 0.500

---

# 2
# YTl2In

A geometry-optimized YTl2In structure (GGA-PBEsol, Alexandria via LeMat-Bulk).

Computed properties:
The total energy is -16.52 eV for the cell shown. For the formation energy, the calculation gives -1.46 eV/f.u.

abc: 4.643 4.598 4.642
angles: 90.00 90.00 90.00
Fractional coordinates of all 4 atoms:
Y1 0.000 0.500 0.000
Tl1 0.500 0.000 0.000
Tl2 0.000 0.000 0.500
In1 0.500 0.500 0.500